Material: Bi4AuI
Method: DFT, PBE
State: optimized geometry

Structure (POSCAR):
```
Bi4AuI
1.0
6.6204 -4.6071 0.0000
6.6204 4.6071 0.0000
-3.2137 0.0000 7.6101
Bi Au I
8 2 2
direct
0.0581 0.6903 0.4249 Bi
0.1835 0.1835 0.2909 Bi
0.2005 0.7995 0.0000 Bi
0.3097 0.9419 0.5751 Bi
0.6903 0.0581 0.4249 Bi
0.7995 0.2005 0.0000 Bi
0.8165 0.8165 0.7091 Bi
0.9419 0.3097 0.5751 Bi
0.0819 0.0819 0.8150 Au
0.9181 0.9181 0.1850 Au
0.4295 0.4295 0.7169 I
0.5705 0.5705 0.2831 I
```

VASP energy: -3.400 eV per atom
Density: 8.30 Mg/m³
E_form (uncorrected): -0.05 eV per formula unit
N(E_F): 0.099 states/eV/atom

Material: CoHgMo3
Method: DFT, PBE
State: optimized geometry

Structure (POSCAR):
```
CoHgMo3
1.0
4.4844 0.0000 0.0000
0.0000 4.4844 0.0000
0.0000 0.0000 4.4844
Co Hg Mo
1 1 3
direct
0.0000 0.0000 0.0000 Co
0.5000 0.5000 0.5000 Hg
0.0000 0.0000 0.5000 Mo
0.0000 0.5000 0.0000 Mo
0.5000 0.0000 0.0000 Mo
```

VASP energy: -6.850 eV per atom
Density: 10.08 Mg/m³
ΔE_f: 1.130 eV/atom
N(E_F): 0.968 states/eV/atom
Excess energy over the best structure of this formula in the dataset: 0 meV/atom

Material: LuScCdRh
Method: DFT, PBE
State: optimized geometry

Structure (POSCAR):
```
LuScCdRh
1.0
0.0000 3.4393 3.4393
3.4393 0.0000 3.4393
3.4393 3.4393 0.0000
Lu Sc Cd Rh
1 1 1 1
direct
0.0000 0.0000 0.0000 Lu
0.5000 0.5000 0.5000 Sc
0.2500 0.2500 0.2500 Cd
0.7500 0.7500 0.7500 Rh
```

VASP energy: -5.338 eV per atom
Density: 8.88 Mg/m³
ΔE_f: -0.558 eV/atom
N(E_F): 0.677 states/eV/atom

Material: La2MgAl
Method: DFT, PBE
State: optimized geometry

Structure (POSCAR):
```
La2MgAl
1.0
3.8235 0.0000 0.0000
0.0000 3.8235 0.0000
0.0000 0.0000 7.9938
La Mg Al
2 1 1
direct
0.0000 0.0000 0.2325 La
0.0000 0.0000 0.7675 La
0.5000 0.5000 0.5000 Mg
0.5000 0.5000 0.0000 Al
```

VASP energy: -4.040 eV per atom
Density: 4.68 Mg/m³
ΔE_f: -0.242 eV/atom
N(E_F): 0.946 states/eV/atom

Material: Hf2TlSnPd
Method: DFT, PBE
State: optimized geometry

Structure (POSCAR):
```
Hf2TlSnPd
1.0
5.1026 0.0000 0.0000
0.0000 5.1026 0.0000
0.0000 0.0000 4.9673
Hf Tl Sn Pd
2 1 1 1
direct
0.0000 0.5000 0.0000 Hf
0.5000 0.0000 0.0000 Hf
0.0000 0.0000 0.5000 Tl
0.5000 0.5000 0.5000 Sn
0.5000 0.5000 0.0000 Pd
```

VASP energy: -5.979 eV per atom
Density: 10.10 Mg/m³
ΔE_f: 0.315 eV/atom
N(E_F): 0.514 states/eV/atom

Material: Pr4InAu3
Method: DFT, PBE
State: optimized geometry

Structure (POSCAR):
```
Pr4InAu3
1.0
3.9464 0.0000 0.0000
0.0000 4.8612 0.0000
0.0000 0.0000 11.6711
Pr In Au
4 1 3
direct
0.0000 0.0000 0.0000 Pr
0.0000 0.5000 0.2684 Pr
0.5000 0.0000 0.4827 Pr
0.5000 0.5000 0.7810 Pr
0.0000 0.0000 0.7106 In
0.0000 0.5000 0.5446 Au
0.5000 0.0000 0.2152 Au
0.5000 0.5000 0.0519 Au
```

VASP energy: -4.633 eV per atom
Density: 9.41 Mg/m³
ΔE_f: -0.672 eV/atom
N(E_F): 0.956 states/eV/atom

Material: Ba2TmTlO6
Method: DFT, PBE
State: optimized geometry

Structure (POSCAR):
```
Ba2TmTlO6
1.0
-3.0833 3.0833 4.3702
3.0833 -3.0833 4.3702
3.0833 3.0833 -4.3702
Ba Tm Tl O
2 1 1 6
direct
0.2500 0.7500 0.5000 Ba
0.7500 0.2500 0.5000 Ba
0.0000 0.0000 0.0000 Tm
0.5000 0.5000 0.0000 Tl
0.2480 0.2480 0.0000 O
0.2485 0.2485 0.4970 O
0.2485 0.7515 0.0000 O
0.7515 0.2485 0.0000 O
0.7520 0.7520 0.0000 O
0.7515 0.7515 0.5030 O
```

VASP energy: -6.070 eV per atom
Density: 7.43 Mg/m³
E_form (uncorrected): -20.27 eV per formula unit
N(E_F): 0.698 states/eV/atom

Material: Ag3SbPd6
Method: DFT, PBE
State: optimized geometry

Structure (POSCAR):
```
Ag3SbPd6
1.0
8.8154 0.0000 0.0000
0.0000 4.1457 0.0000
-0.7001 0.0000 9.1606
Ag Sb Pd
6 2 12
direct
0.0541 0.2500 0.4012 Ag
0.1592 0.7500 0.2030 Ag
0.2496 0.2500 0.0081 Ag
0.7504 0.7500 0.9919 Ag
0.8408 0.2500 0.7970 Ag
0.9459 0.7500 0.5988 Ag
0.4223 0.2500 0.6339 Sb
0.5777 0.7500 0.3661 Sb
0.0464 0.7500 0.9015 Pd
0.1396 0.2500 0.7062 Pd
0.2622 0.7500 0.5043 Pd
0.3381 0.7500 0.8123 Pd
0.3734 0.2500 0.3208 Pd
0.4543 0.7500 0.0975 Pd
0.5457 0.2500 0.9025 Pd
0.6266 0.7500 0.6792 Pd
0.6619 0.2500 0.1877 Pd
0.7378 0.2500 0.4957 Pd
0.8604 0.7500 0.2938 Pd
0.9536 0.2500 0.0985 Pd
```

VASP energy: -4.566 eV per atom
Density: 10.75 Mg/m³
E_form (uncorrected): -1.83 eV per formula unit
N(E_F): 0.442 states/eV/atom
Excess energy over the best structure of this formula in the dataset: 0 meV/atom

- What is the formula in the seventh record?
  Ba2TmTlO6

Repeat the third record exactly.
Material: LuScCdRh
Method: DFT, PBE
State: optimized geometry

Structure (POSCAR):
```
LuScCdRh
1.0
0.0000 3.4393 3.4393
3.4393 0.0000 3.4393
3.4393 3.4393 0.0000
Lu Sc Cd Rh
1 1 1 1
direct
0.0000 0.0000 0.0000 Lu
0.5000 0.5000 0.5000 Sc
0.2500 0.2500 0.2500 Cd
0.7500 0.7500 0.7500 Rh
```

VASP energy: -5.338 eV per atom
Density: 8.88 Mg/m³
ΔE_f: -0.558 eV/atom
N(E_F): 0.677 states/eV/atom